SrReTeH2 | GGA-PBE | relaxed

Structure (CIF):
```
data_SrReTeH2
_chemical_formula_sum 'Sr1 Re1 Te1 H2'
_symmetry_space_group_name_H-M 'P 4/m m m'
_symmetry_Int_Tables_number 123
_symmetry_space_group_name_Hall '-P 4 2'
_cell_length_a 4.2690
_cell_length_b 4.2690
_cell_length_c 5.1692
_cell_angle_alpha 90.00
_cell_angle_beta 90.00
_cell_angle_gamma 90.00
loop_
_atom_site_label
_atom_site_type_symbol
_atom_site_fract_x
_atom_site_fract_y
_atom_site_fract_z
Sr1 Sr 0.0000 0.0000 0.0000
Re1 Re 0.5000 0.5000 0.5000
Te1 Te 0.5000 0.5000 0.0000
H1 H 0.0000 0.5000 0.5000
```


# GGA-PBE TaRe2H, relaxed
data_TaRe2H
_chemical_formula_sum 'Ta4 Re8 H4'
_symmetry_space_group_name_H-M 'I -4 2 d'
_symmetry_Int_Tables_number 122
_symmetry_space_group_name_Hall 'I -4 2bw'
_cell_length_a 6.7519
_cell_length_b 6.7519
_cell_length_c 4.5878
_cell_angle_alpha 90.00
_cell_angle_beta 90.00
_cell_angle_gamma 90.00
loop_
_atom_site_label
_atom_site_type_symbol
_atom_site_fract_x
_atom_site_fract_y
_atom_site_fract_z
Ta1 Ta 0.0000 0.0000 0.0000
Re1 Re 0.1466 0.2500 0.6250
H1 H 0.0000 0.0000 0.5000
# energy above the lowest structure with this stoichiometry: 0 meV/atom


# GGA-PBE Ta3ReH, relaxed
data_Ta3ReH
_chemical_formula_sum 'Ta3 Re1 H1'
_symmetry_space_group_name_H-M 'P m -3 m'
_symmetry_Int_Tables_number 221
_symmetry_space_group_name_Hall '-P 4 2 3'
_cell_length_a 4.1715
_cell_length_b 4.1715
_cell_length_c 4.1715
_cell_angle_alpha 90.00
_cell_angle_beta 90.00
_cell_angle_gamma 90.00
loop_
_atom_site_label
_atom_site_type_symbol
_atom_site_fract_x
_atom_site_fract_y
_atom_site_fract_z
Ta1 Ta 0.0000 0.0000 0.5000
Re1 Re 0.5000 0.5000 0.5000
H1 H 0.0000 0.0000 0.0000
# energy above the lowest structure with this stoichiometry: 0 meV/atom


Number 1: E -0.16510 Ha/atom. Number 2: E -0.35667 Ha/atom. Number 3: E -0.37372 Ha/atom.